Below is a geometry-optimized KYZn2 structure, with properties calculated at the PBE-GGA level.

Values from the calculation:
- SG = C2/m, No. 12
- total DFT energy (no corrections) (eV/atom) = -2.3765
- relative energy among the computed polymorphs (meV/atom) = 180
- energy of formation (eV/atom) = 0.15

Unit cell a=5.004 b=5.004 c=7.770 alpha=80.50 beta=80.50 gamma=41.05
Sites, in units of the cell vectors:
Zn: 0.988 0.988 0.081
Zn: 0.512 0.512 0.419
Y: 0.250 0.250 0.250
K: 0.750 0.750 0.750

=====

Below is a geometry-optimized La5Sc4In4 structure, with properties calculated at the PBE-GGA level.

Values from the calculation:
- SG = I4/m, No. 87
- total DFT energy (no corrections) (eV/atom) = -4.9854
- energy of formation (eV/atom) = -0.30

Unit cell a=4.799 b=9.409 c=9.409 alpha=86.27 beta=75.22 gamma=75.22
Sites, in units of the cell vectors:
La: 0.297 0.073 0.332
La: 0.703 0.927 0.668
La: 0.629 0.668 0.073
La: 0.371 0.332 0.927
La: 0.000 0.000 0.000
In: 0.938 0.807 0.317
In: 0.255 0.683 0.807
In: 0.062 0.193 0.683
In: 0.745 0.317 0.193
Sc: 0.572 0.329 0.526
Sc: 0.098 0.474 0.329
Sc: 0.902 0.526 0.671
Sc: 0.428 0.671 0.474

=====

Below is a geometry-optimized CsRb3Hf structure, with properties calculated at the PBE-GGA level.

Values from the calculation:
- SG = Pm-3m, No. 221
- total DFT energy (no corrections) (eV/atom) = -1.7561
- relative energy among the computed polymorphs (meV/atom) = 0
- energy of formation (eV/atom) = 0.99

Unit cell a=7.332 b=7.332 c=7.332 alpha=90.00 beta=90.00 gamma=90.00
Last column: magnetic moment on the atom in μB.
Sites, in units of the cell vectors:
Cs: 0.500 0.500 0.500  0.02
Rb: 0.500 0.000 0.000  0.04
Rb: 0.000 0.000 0.500  0.04
Rb: 0.000 0.500 0.000  0.05
Hf: 0.000 0.000 0.000  1.57

=====

Below is a geometry-optimized LaPd2F11 structure, with properties calculated at the PBE-GGA level.

Values from the calculation:
- SG = Ibam, No. 72
- ΔE_f (raw) (eV/atom) = -2.018
- total DFT energy (no corrections) (eV/atom) = -4.5817

Unit cell a=8.968 b=8.282 c=8.282 alpha=65.64 beta=57.22 gamma=57.22
Sites, in units of the cell vectors:
F: 0.907 0.429 0.309
F: 0.093 0.571 0.691
F: 0.691 0.645 0.093
F: 0.191 0.593 0.145
F: 0.809 0.407 0.855
F: 0.689 0.311 0.689
F: 0.429 0.907 0.355
F: 0.146 0.071 0.191
F: 0.311 0.689 0.311
F: 0.854 0.929 0.809
F: 0.929 0.855 0.407
F: 0.309 0.355 0.907
F: 0.189 0.189 0.811
F: 0.593 0.191 0.071
F: 0.811 0.811 0.189
F: 0.071 0.145 0.593
F: 0.000 0.000 0.000
F: 0.646 0.691 0.571
F: 0.500 0.500 0.500
F: 0.571 0.093 0.645
F: 0.407 0.809 0.929
F: 0.354 0.309 0.429
Pd: 0.163 0.837 0.163
Pd: 0.837 0.163 0.837
Pd: 0.663 0.663 0.337
Pd: 0.337 0.337 0.663
La: 0.250 0.250 0.250
La: 0.750 0.750 0.750

=====

Below is a geometry-optimized Sc6GaP2Se3 structure, with properties calculated at the PBE-GGA level.

Values from the calculation:
- SG = C2/m, No. 12
- ΔE_f (raw) (eV/atom) = -1.431
- total DFT energy (no corrections) (eV/atom) = -6.6220

Unit cell a=3.785 b=7.806 c=8.632 alpha=103.88 beta=102.66 gamma=90.00
Sites, in units of the cell vectors:
Sc: 0.004 0.251 0.008
Sc: 0.673 0.570 0.347
Sc: 0.996 0.749 0.992
Sc: 0.335 0.903 0.669
Sc: 0.665 0.097 0.331
Sc: 0.327 0.430 0.653
Se: 0.500 0.500 0.000
Se: 0.833 0.169 0.666
Se: 0.167 0.831 0.334
Ga: 0.500 0.000 0.000
P: 0.167 0.334 0.334
P: 0.833 0.666 0.666

=====

Below is a geometry-optimized SiIr4Pt structure, with properties calculated at the PBE-GGA level.

Values from the calculation:
- SG = F-43m, No. 216
- ΔE_f (raw) (eV/atom) = 0.710
- total DFT energy (no corrections) (eV/atom) = -7.1078

Unit cell a=5.165 b=5.165 c=5.165 alpha=60.00 beta=60.00 gamma=60.00
Sites, in units of the cell vectors:
Ir: 0.875 0.375 0.375
Ir: 0.375 0.875 0.375
Ir: 0.375 0.375 0.875
Ir: 0.375 0.375 0.375
Pt: 0.750 0.750 0.750
Si: 0.000 0.000 0.000

=====

Below is a geometry-optimized ScAlTl2 structure, with properties calculated at the PBE-GGA level.

Values from the calculation:
- SG = Fm-3m, No. 225
- total DFT energy (no corrections) (eV/atom) = -3.6041
- relative energy among the computed polymorphs (meV/atom) = 184
- energy of formation (eV/atom) = 0.10

Unit cell a=5.113 b=5.113 c=5.113 alpha=60.00 beta=60.00 gamma=60.00
Sites, in units of the cell vectors:
Al: 0.000 0.000 0.000
Tl: 0.750 0.750 0.750
Tl: 0.250 0.250 0.250
Sc: 0.500 0.500 0.500

=====

Below is a geometry-optimized Pa2ZnBi structure, with properties calculated at the PBE-GGA level.

Values from the calculation:
- SG = Fm-3m, No. 225
- total DFT energy (no corrections) (eV/atom) = -5.8391
- relative energy among the computed polymorphs (meV/atom) = 159
- energy of formation (eV/atom) = 0.20

Unit cell a=5.257 b=5.257 c=5.257 alpha=60.00 beta=60.00 gamma=60.00
Last column: magnetic moment on the atom in μB.
Sites, in units of the cell vectors:
Zn: 0.500 0.500 0.500  0.04
Bi: 0.000 0.000 0.000  0.03
Pa: 0.750 0.750 0.750  1.09
Pa: 0.250 0.250 0.250  1.09

=====

Below is a geometry-optimized PmDy4Tm2 structure, with properties calculated at the PBE-GGA level.

Values from the calculation:
- SG = C2/m, No. 12
- total DFT energy (no corrections) (eV/atom) = -4.3833
- relative energy among the computed polymorphs (meV/atom) = 169
- energy of formation (eV/atom) = 0.20

Unit cell a=8.614 b=8.251 c=6.588 alpha=125.37 beta=130.81 gamma=90.01
Sites, in units of the cell vectors:
Dy: 0.697 0.302 0.010
Dy: 0.313 0.302 0.010
Dy: 0.687 0.698 0.990
Dy: 0.303 0.698 0.990
Pm: 0.000 0.000 0.000
Tm: 0.758 0.228 0.515
Tm: 0.242 0.772 0.485

=====

Below is a geometry-optimized TmPuSc2 structure, with properties calculated at the PBE-GGA level.

Values from the calculation:
- SG = Pmm2, No. 25
- total DFT energy (no corrections) (eV/atom) = -7.7878
- relative energy among the computed polymorphs (meV/atom) = 0
- energy of formation (eV/atom) = 0.08

Unit cell a=6.323 b=3.303 c=8.596 alpha=67.44 beta=137.31 gamma=121.51
Last column: magnetic moment on the atom in μB.
Sites, in units of the cell vectors:
Tm: 0.439 0.184 0.983  0.12
Pu: 0.759 0.183 0.802  5.47
Sc: 0.942 0.683 0.485  0.05
Sc: 0.266 0.682 0.310  0.15

=====

Below is a geometry-optimized ScSn3Pd structure, with properties calculated at the PBE-GGA level.

Values from the calculation:
- SG = Pm-3m, No. 221
- total DFT energy (no corrections) (eV/atom) = -4.5970
- relative energy among the computed polymorphs (meV/atom) = 0
- energy of formation (eV/atom) = 0.11

Unit cell a=5.185 b=5.185 c=5.185 alpha=90.00 beta=90.00 gamma=90.00
Sites, in units of the cell vectors:
Pd: 0.000 0.000 0.000
Sn: 0.000 0.000 0.500
Sn: 0.000 0.500 0.000
Sn: 0.500 0.000 0.000
Sc: 0.500 0.500 0.500